(1)
{
  "formula": "Ac2DyBi",
  "functional": "PBE",
  "state": "relaxed",
  "e_above_lowest_polymorph_ev_per_atom": 0.000,
  "sg": "P4/mmm (123)",
  "delta_e_f_ev_per_fu": -1.3,
  "cell": [[5.100, 0.000, 0.000], [0.000, 5.271, 0.000], [0.000, 0.000, 5.271]],
  "species": ["Bi", "Dy", "Ac", "Ac"],
  "frac_coords": [[0.500, 0.500, 0.500], [0.500, 0.000, 0.000], [0.000, 0.500, 0.000], [0.000, 0.000, 0.500]]
}



(2)
{
  "formula": "Ac4DyBi5",
  "functional": "PBE",
  "state": "relaxed",
  "sg": "I4/m (87)",
  "delta_e_f_ev_per_fu": -9.5,
  "cell": [[-2.626, 5.876, 2.249], [-2.900, -0.322, 7.791], [5.508, 4.980, 3.749]],
  "species": ["Ac", "Ac", "Ac", "Ac", "Bi", "Bi", "Bi", "Bi", "Bi", "Dy"],
  "frac_coords": [[0.801, 0.795, 0.604], [0.596, 0.604, 0.205], [0.406, 0.396, 0.795], [0.201, 0.205, 0.396], [0.905, 0.384, 0.809], [0.289, 0.809, 0.616], [0.713, 0.191, 0.384], [0.501, 0.000, 0.000], [0.097, 0.616, 0.191], [0.001, 0.000, 0.000]]
}